The following is a PBE calculation of a relaxed NaOsSeBr2 crystal, from the Alexandria database. Values from VASP.

Quantum ESPRESSO input file:
```
&SYSTEM
  ibrav = 0, nat = 5, ntyp = 4
/
ATOMIC_SPECIES
Se 78.96 Se.upf
Na 22.99 Na.upf
Br 79.90 Br.upf
Os 190.23 Os.upf
ATOMIC_POSITIONS angstrom
Se 0.941 -0.558 2.044
Na -2.460 -1.829 3.261
Br -2.114 1.110 1.276
Os 0.000 0.000 0.000
Br -1.286 -2.382 -0.058
CELL_PARAMETERS angstrom
-4.228 2.221 2.552
-2.573 -4.763 -0.117
1.881 -1.116 4.087
```

Output
The excess energy over the best structure of this formula in the dataset is 0.0 meV per atom. Its uncorrected formation energy is -0.101 eV/atom.